[1]
BaPPb | GGA-PBE | optimized geometry

Computed properties:
crystal system = trigonal
E = -4.19 eV/atom
SG = P3m1, No. 156
DFT formation energy = -0.51 eV/atom

Cell and atoms, written as POSCAR:
```
BaPPb
1.0
4.9299 0.0000 0.0000
-2.4650 4.2695 0.0000
0.0000 0.0000 4.6857
Ba P Pb
1 1 1
direct
0.0000 0.0000 0.0000 Ba
0.6667 0.3333 0.4976 P
0.3333 0.6667 0.5008 Pb
```



[2]
Pr2Er3TmBi6 | GGA-PBE | optimized geometry

Computed properties:
crystal system = monoclinic
E = -5.10 eV/atom
SG = C2/m, No. 12
DFT formation energy = -0.85 eV/atom

Cell and atoms, written as POSCAR:
```
Pr2Er3TmBi6
1.0
9.8261 -2.2570 0.0000
9.8261 2.2570 0.0000
-2.0614 0.0000 8.7810
Pr Er Tm Bi
2 3 1 6
direct
0.1654 0.1654 0.3320 Pr
0.8346 0.8346 0.6680 Pr
0.1690 0.1690 0.8341 Er
0.5000 0.5000 0.5000 Er
0.8310 0.8310 0.1659 Er
0.5000 0.5000 0.0000 Tm
0.0043 0.0043 0.7532 Bi
0.3346 0.3346 0.9268 Bi
0.3359 0.3359 0.4096 Bi
0.6641 0.6641 0.5904 Bi
0.6654 0.6654 0.0732 Bi
0.9957 0.9957 0.2468 Bi
```



[3]
CeCdSb2 | GGA-PBE | optimized geometry

Computed properties:
crystal system = tetragonal
E = -4.23 eV/atom
SG = P4/mmm, No. 123

Cell and atoms, written as POSCAR:
```
CeCdSb2
1.0
4.0857 0.0000 0.0000
0.0000 4.0857 0.0000
0.0000 0.0000 6.5794
Ce Cd Sb
1 1 2
direct
0.0000 0.0000 0.0000 Ce
0.0000 0.0000 0.5000 Cd
0.5000 0.5000 0.2354 Sb
0.5000 0.5000 0.7646 Sb
```



[4]
Zn2SeF2 | GGA-PBE | optimized geometry

Computed properties:
crystal system = tetragonal
E = -3.39 eV/atom
SG = I4_1md, No. 109

Cell and atoms, written as POSCAR:
```
Zn2SeF2
1.0
-3.2841 3.2841 4.6075
3.2841 -3.2841 4.6075
3.2841 3.2841 -4.6075
Zn Se F
4 2 4
direct
0.2481 0.0000 0.2481 Zn
0.7500 0.0019 0.2519 Zn
0.7500 0.4981 0.7481 Zn
0.7519 0.0000 0.7519 Zn
0.3235 0.8235 0.5000 Se
0.5735 0.5735 0.0000 Se
0.5175 0.2175 0.3000 F
0.9175 0.2175 0.7000 F
0.9675 0.1675 0.2000 F
0.9675 0.7675 0.8000 F
```



[5]
Na3PaGe2S6 | GGA-PBE | optimized geometry

Computed properties:
crystal system = monoclinic
E = -5.01 eV/atom
SG = C2/m, No. 12

Cell and atoms, written as POSCAR:
```
Na3PaGe2S6
1.0
3.4487 -5.9736 0.0000
3.4487 5.9736 0.0000
-2.2960 0.0000 6.5307
Na Pa Ge S
3 1 2 6
direct
0.0000 0.0000 0.0000 Na
0.3277 0.6723 0.0000 Na
0.6723 0.3277 0.0000 Na
0.5000 0.5000 0.5000 Pa
0.1651 0.8349 0.5000 Ge
0.8349 0.1651 0.5000 Ge
0.1025 0.4259 0.2788 S
0.2491 0.2491 0.7201 S
0.4259 0.1025 0.2788 S
0.5741 0.8975 0.7212 S
0.7509 0.7509 0.2799 S
0.8975 0.5741 0.7212 S
```



[6]
Nd12Tm6Th | GGA-PBE | optimized geometry

Computed properties:
crystal system = trigonal
E = -4.79 eV/atom
SG = R-3, No. 148
DFT formation energy = 0.03 eV/atom

Cell and atoms, written as POSCAR:
```
Nd12Tm6Th
1.0
7.8950 4.5582 2.9452
-7.8950 4.5582 2.9452
0.0000 -9.1163 2.9452
Nd Tm Th
12 6 1
direct
0.0600 0.3745 0.5816 Nd
0.1039 0.7396 0.1565 Nd
0.1565 0.1039 0.7396 Nd
0.2604 0.8435 0.8961 Nd
0.3745 0.5816 0.0600 Nd
0.4184 0.9400 0.6255 Nd
0.5816 0.0600 0.3745 Nd
0.6255 0.4184 0.9400 Nd
0.7396 0.1565 0.1039 Nd
0.8435 0.8961 0.2604 Nd
0.8961 0.2604 0.8435 Nd
0.9400 0.6255 0.4184 Nd
0.2130 0.4685 0.3157 Tm
0.3157 0.2130 0.4685 Tm
0.4685 0.3157 0.2130 Tm
0.5315 0.6843 0.7870 Tm
0.6843 0.7870 0.5315 Tm
0.7870 0.5315 0.6843 Tm
0.0000 0.0000 0.0000 Th
```



[7]
TbEr2Mg6 | GGA-PBE | optimized geometry

Computed properties:
crystal system = hexagonal
E = -2.66 eV/atom
SG = P6/mmm, No. 191
DFT formation energy = -0.07 eV/atom

Cell and atoms, written as POSCAR:
```
TbEr2Mg6
1.0
9.0473 0.0000 0.0000
-4.5236 7.8352 0.0000
0.0000 0.0000 3.2715
Tb Er Mg
1 2 6
direct
0.0000 0.0000 0.0000 Tb
0.3333 0.6667 0.0000 Er
0.6667 0.3333 0.0000 Er
0.0000 0.3349 0.5000 Mg
0.0000 0.6651 0.5000 Mg
0.3349 0.0000 0.5000 Mg
0.3349 0.3349 0.5000 Mg
0.6651 0.0000 0.5000 Mg
0.6651 0.6651 0.5000 Mg
```



[8]
ZnPbW2 | GGA-PBE | optimized geometry

Computed properties:
crystal system = trigonal
E = -7.19 eV/atom
SG = R3m, No. 160
DFT formation energy = 0.53 eV/atom

Cell and atoms, written as POSCAR:
```
ZnPbW2
1.0
3.1712 0.0000 0.0000
-1.5856 2.7463 0.0000
0.0000 0.0000 27.9883
Zn Pb W
3 3 6
direct
0.0000 0.0000 0.0000 Zn
0.3333 0.6667 0.6667 Zn
0.6667 0.3333 0.3333 Zn
0.0000 0.0000 0.7627 Pb
0.3333 0.6667 0.4294 Pb
0.6667 0.3333 0.0961 Pb
0.0000 0.0000 0.2559 W
0.0000 0.0000 0.5268 W
0.3333 0.6667 0.1935 W
0.3333 0.6667 0.9226 W
0.6667 0.3333 0.5892 W
0.6667 0.3333 0.8602 W
```



[9]
ZrAgRu2 | GGA-PBE | optimized geometry

Computed properties:
crystal system = orthorhombic
E = -7.27 eV/atom
SG = Cmmm, No. 65
DFT formation energy = 0.21 eV/atom

Cell and atoms, written as POSCAR:
```
ZrAgRu2
1.0
3.1961 0.0000 0.0000
0.0000 4.7824 0.0000
0.0000 0.0000 8.9127
Zr Ag Ru
2 2 4
direct
0.0000 0.0000 0.0000 Zr
0.5000 0.5000 0.0000 Zr
0.0000 0.0000 0.5000 Ag
0.5000 0.5000 0.5000 Ag
0.0000 0.5000 0.2368 Ru
0.0000 0.5000 0.7632 Ru
0.5000 0.0000 0.2368 Ru
0.5000 0.0000 0.7632 Ru
```



[10]
CsAg4Pd3F12 | GGA-PBE | optimized geometry

Computed properties:
crystal system = cubic
E = -3.84 eV/atom
SG = Im-3, No. 204

Cell and atoms, written as POSCAR:
```
CsAg4Pd3F12
1.0
-4.3607 4.3607 4.3607
4.3607 -4.3607 4.3607
4.3607 4.3607 -4.3607
Cs Ag Pd F
1 4 3 12
direct
0.0000 0.0000 0.0000 Cs
0.0000 0.0000 0.5000 Ag
0.0000 0.5000 0.0000 Ag
0.5000 0.0000 0.0000 Ag
0.5000 0.5000 0.5000 Ag
0.0000 0.5000 0.5000 Pd
0.5000 0.0000 0.5000 Pd
0.5000 0.5000 0.0000 Pd
0.1581 0.3322 0.4903 F
0.1581 0.6678 0.8259 F
0.1741 0.8419 0.3322 F
0.3322 0.1741 0.8419 F
0.3322 0.4903 0.1581 F
0.4903 0.1581 0.3322 F
0.5097 0.8419 0.6678 F
0.6678 0.5097 0.8419 F
0.6678 0.8259 0.1581 F
0.8259 0.1581 0.6678 F
0.8419 0.3322 0.1741 F
0.8419 0.6678 0.5097 F
```



[11]
LiEr5Ag6 | GGA-PBE | optimized geometry

Computed properties:
crystal system = monoclinic
E = -3.77 eV/atom
SG = C2/m, No. 12
DFT formation energy = -0.28 eV/atom

Cell and atoms, written as POSCAR:
```
LiEr5Ag6
1.0
4.3649 -7.5425 0.0000
4.3649 7.5425 0.0000
-2.8835 0.0000 4.1132
Li Er Ag
1 5 6
direct
0.0000 0.0000 0.0000 Li
0.1665 0.8335 0.5000 Er
0.3334 0.6666 0.0000 Er
0.5000 0.5000 0.5000 Er
0.6666 0.3334 0.0000 Er
0.8335 0.1665 0.5000 Er
0.0821 0.4114 0.2468 Ag
0.2432 0.2432 0.7435 Ag
0.4114 0.0821 0.2468 Ag
0.5886 0.9179 0.7532 Ag
0.7568 0.7568 0.2565 Ag
0.9179 0.5886 0.7532 Ag
```



[12]
Li5CdHg2Pb2 | GGA-PBE | optimized geometry

Computed properties:
crystal system = tetragonal
E = -2.07 eV/atom
SG = P4/mbm, No. 127
DFT formation energy = -0.22 eV/atom

Cell and atoms, written as POSCAR:
```
Li5CdHg2Pb2
1.0
10.6731 0.0000 0.0000
0.0000 10.6731 0.0000
0.0000 0.0000 3.8018
Li Cd Hg Pb
10 2 4 4
direct
0.0000 0.5000 0.0000 Li
0.0528 0.2005 0.0000 Li
0.2005 0.9472 0.0000 Li
0.2995 0.4472 0.0000 Li
0.4472 0.7005 0.0000 Li
0.5000 0.0000 0.0000 Li
0.5528 0.2995 0.0000 Li
0.7005 0.5528 0.0000 Li
0.7995 0.0528 0.0000 Li
0.9472 0.7995 0.0000 Li
0.0000 0.0000 0.5000 Cd
0.5000 0.5000 0.5000 Cd
0.1275 0.3725 0.5000 Hg
0.3725 0.8725 0.5000 Hg
0.6275 0.1275 0.5000 Hg
0.8725 0.6275 0.5000 Hg
0.1720 0.6720 0.5000 Pb
0.3280 0.1720 0.5000 Pb
0.6720 0.8280 0.5000 Pb
0.8280 0.3280 0.5000 Pb
```



Number 1: total magnetic moment 0.0 μB per formula unit. Number 2: total magnetic moment 0.0 μB per formula unit. Number 3: total magnetic moment 0.5 μB per formula unit. Number 4: total magnetic moment 0.0 μB per formula unit. Number 5: total magnetic moment 0.0 μB per formula unit. Number 6: total magnetic moment 0.0 μB per formula unit. Number 7: total magnetic moment 0.0 μB per formula unit. Number 8: total magnetic moment 0.0 μB per formula unit. Number 9: total magnetic moment 0.0 μB per formula unit. Number 10: total magnetic moment 0.0 μB per formula unit. Number 11: total magnetic moment 0.0 μB per formula unit. Number 12: total magnetic moment 0.0 μB per formula unit.